This record from Alexandria via LeMat-Bulk describes a relaxed CdAgHg crystal. The functional is GGA-PBE.

Summary:
**E_form**: 2.7 kJ/mol of atoms
**Size of the total moment**: 0.000 μB/atom
**SG**: Imm2
**Energy above the most stable polymorph in this dataset**: 15 meV/atom
**Density**: 11.1 g cm⁻³

a = 5.286 Å, b = 5.286 Å, c = 5.286 Å
α = 143.43°, β = 133.89°, γ = 60.24°
Fractional positions:
Hg: 0.666 0.666 0.000
Ag: 0.997 0.997 0.000
Cd: 0.337 0.337 0.000